Material: AlVGe2O6
Method: DFT, PBE+U
State: relaxed

a = 13.7136 Å, b = 8.3640 Å, c = 4.9371 Å
α = 90.00°, β = 93.69°, γ = 90.00°
Closest atoms and distances in Å follow each position.
Space group C2/c (No. 15)
Symmetry-distinct sites (fractional):
Al 0.0000 0.2216 0.2500 x4  6 O 1.87-2.01
V 0.0000 0.4077 0.7500 x4  6 O 1.85-1.99
Ge 0.1618 0.1029 0.7640 x8  3 O 1.92-1.99
O 0.0690 0.4086 0.4318 x8  2 V 1.89-1.99, 1 Al 2.01
O 0.0757 0.2544 0.9326 x8  1 V 1.85, 1 Al 1.95, 1 Ge 1.95
O 0.0918 0.0822 0.4156 x8  1 Al 1.87, 2 Ge 1.92-1.99

Summary:
As for the spin magnetization: 0.00 Bohr magnetons per cell. The crystal system is monoclinic. Its total energy is -271.99 eV/cell.